Fe2NiS2: optimized geometry, PBE.

Cell lengths 6.3513, 6.3513, 3.1348 Å; angles 90.00, 90.00, 90.00 degrees
Last column: nearest neighbours and their distance in Å.
Space group P4/mbm (No. 127)
Unique sites:
Fe (0.1397, 0.3603, 0.0000) (multiplicity 4)  6 S 2.33-2.51, 1 Fe 2.51
Ni (0.0000, 0.0000, 0.5000) (multiplicity 2)  4 S 2.36
S (0.1685, 0.6685, 0.5000) (multiplicity 4)  6 Fe 2.33-2.51, 2 Ni 2.36

Calculated values
* relative energy among the computed polymorphs: 0 meV/atom
* density: 6.16 g cm⁻³
* electronic total energy: -6.17 eV/atom
* E_form (uncorrected): 0.022 eV/atom
* Fermi-level density of states: 1.0563 states/eV per atom
* magnetic moment: 5.31 μB per formula unit